[1]
The following is a GGA-PBE calculation of a relaxed structure of Rb2BeRhBr6, from Alexandria via LeMat-Bulk.

Unit cell a=7.1192 b=7.1192 c=7.5369 alpha=61.82 beta=61.82 gamma=90.00
Positions (direct):
Be1 0.5000 0.5000 0.0000
Br1 0.7358 0.7358 0.0000
Br2 0.2642 0.7358 0.0000
Br3 0.7358 0.2642 0.0000
Br4 0.2253 0.2253 0.5494
Br5 0.2642 0.2642 0.0000
Br6 0.7747 0.7747 0.4506
Rh1 0.0000 0.0000 0.0000
Rb1 0.7500 0.2500 0.5000
Rb2 0.2500 0.7500 0.5000

Summary:
VASP energy: -0.233 Ry per atom
N(E_F): 3.27 states/eV per cell

[2]
The following is a GGA-PBE calculation of a relaxed structure of ZnP2CCl, from Alexandria via LeMat-Bulk.

Unit cell a=3.7818 b=3.7818 c=6.9804 alpha=90.00 beta=90.00 gamma=90.00
Positions (direct):
Cl1 0.0000 0.0000 0.5000
Zn1 0.5000 0.5000 0.5000
P1 0.0000 0.5000 0.0000
P2 0.5000 0.0000 0.0000
C1 0.0000 0.0000 0.0000

Summary:
excess energy over the best structure of this formula in the dataset: 0 meV/atom
N(E_F): 5.40 states/eV per cell

[3]
The following is a GGA-PBE calculation of a relaxed structure of CoAsOs2, from Alexandria via LeMat-Bulk.

Unit cell a=3.8959 b=2.8224 c=5.3442 alpha=72.12 beta=90.00 gamma=90.00
Site moments in Bohr magnetons follow the coordinates.
Positions (direct):
As1 0.5000 0.2500 0.2500  -0.01
Os1 0.0000 0.1304 0.0000  0.03
Os2 0.0000 0.3696 0.5000  0.03
Co1 0.5000 0.7500 0.7500  1.03

Summary:
calculated formation energy: 0.391 eV per atom
N(E_F): 3.54 states/eV per cell

[4]
The following is a GGA-PBE calculation of a relaxed structure of TaBRu3, from Alexandria via LeMat-Bulk.

Unit cell a=7.6013 b=7.6013 c=7.6013 alpha=60.00 beta=60.00 gamma=60.00
Positions (direct):
Ru1 0.0469 0.4531 0.0469
Ru2 0.0469 0.4531 0.4531
Ru3 0.0469 0.0469 0.4531
Ru4 0.7969 0.2031 0.2031
Ru5 0.2031 0.7969 0.2031
Ru6 0.2031 0.7969 0.7969
Ru7 0.7969 0.2031 0.7969
Ru8 0.4531 0.4531 0.0469
Ru9 0.4531 0.0469 0.4531
Ru10 0.4531 0.0469 0.0469
Ru11 0.2031 0.2031 0.7969
Ru12 0.7969 0.7969 0.2031
B1 0.1250 0.1250 0.6250
B2 0.1250 0.1250 0.1250
B3 0.6250 0.1250 0.1250
B4 0.1250 0.6250 0.1250
Ta1 0.6250 0.6250 0.6250
Ta2 0.1250 0.6250 0.6250
Ta3 0.6250 0.1250 0.6250
Ta4 0.6250 0.6250 0.1250

Summary:
calculated formation energy: 0.189 eV per atom
N(E_F): 16.70 states/eV per cell

[5]
The following is a GGA-PBE calculation of a relaxed structure of KCd2Te, from Alexandria via LeMat-Bulk.

Unit cell a=6.1025 b=6.1025 c=6.1025 alpha=131.54 beta=131.54 gamma=70.96
Positions (direct):
Cd1 0.2500 0.7500 0.5000
Cd2 0.0000 0.0000 0.0000
K1 0.5000 0.5000 0.0000
Te1 0.7500 0.2500 0.5000

Summary:
VASP energy: -0.124 Ry per atom
N(E_F): 2.93 states/eV per cell

[6]
The following is a GGA-PBE calculation of a relaxed structure of Ca2Sn9O13, from Alexandria via LeMat-Bulk.

Unit cell a=5.7903 b=5.7903 c=23.4824 alpha=81.28 beta=81.28 gamma=32.92
Positions (direct):
Sn1 0.3501 0.3501 0.0366
Sn2 0.2224 0.2224 0.4174
Sn3 0.0438 0.0438 0.1240
Sn4 0.9562 0.9562 0.8760
Sn5 0.5000 0.5000 0.5000
Sn6 0.9474 0.9474 0.2848
Sn7 0.0526 0.0526 0.7152
Sn8 0.7776 0.7776 0.5826
Sn9 0.6499 0.6499 0.9634
O1 0.8778 0.8778 0.4924
O2 0.3438 0.3438 0.2520
O3 0.1222 0.1222 0.5076
O4 0.0860 0.0860 0.2089
O5 0.5946 0.5946 0.4158
O6 0.6656 0.6656 0.1059
O7 0.4066 0.4066 0.1253
O8 0.0000 0.0000 0.0000
O9 0.6562 0.6562 0.7480
O10 0.9140 0.9140 0.7911
O11 0.3344 0.3344 0.8941
O12 0.5934 0.5934 0.8747
O13 0.4054 0.4054 0.5842
Ca1 0.7451 0.7451 0.1962
Ca2 0.2549 0.2549 0.8038

Summary:
VASP energy: -0.428 Ry per atom
N(E_F): 2.87 states/eV per cell

[7]
The following is a GGA-PBE calculation of a relaxed structure of BaTi2F, from Alexandria via LeMat-Bulk.

Unit cell a=6.7078 b=6.7078 c=6.7115 alpha=60.02 beta=60.02 gamma=90.00
Site moments in Bohr magnetons follow the coordinates.
Positions (direct):
F1 0.2500 0.7500 0.5000  0.03
F2 0.5000 0.5000 0.0000  0.03
Ba1 0.0000 0.0000 0.0000  0.07
Ba2 0.7500 0.2500 0.5000  0.07
Ti1 0.3751 0.6250 0.2500  1.31
Ti2 0.3749 0.1250 0.2500  1.34
Ti3 0.3750 0.6251 0.7500  1.29
Ti4 0.8750 0.6249 0.7500  1.79

Summary:
excess energy over the best structure of this formula in the dataset: 0 meV/atom
N(E_F): 7.35 states/eV per cell

[8]
The following is a GGA-PBE calculation of a relaxed structure of TeMoPbN2, from Alexandria via LeMat-Bulk.

Unit cell a=4.1875 b=4.1875 c=5.6897 alpha=90.00 beta=90.00 gamma=90.00
Positions (direct):
N1 0.5000 0.0000 0.0000
N2 0.0000 0.5000 0.0000
Mo1 0.0000 0.0000 0.0000
Te1 0.0000 0.0000 0.5000
Pb1 0.5000 0.5000 0.5000

Summary:
excess energy over the best structure of this formula in the dataset: 0 meV/atom
N(E_F): 1.70 states/eV per cell

[9]
The following is a GGA-PBE calculation of a relaxed structure of Be2NbB2, from Alexandria via LeMat-Bulk.

Unit cell a=3.1668 b=4.8992 c=5.9985 alpha=90.00 beta=90.00 gamma=108.86
Positions (direct):
Nb1 0.5836 0.1672 0.8510
Nb2 0.4164 0.8328 0.3510
Be1 0.1275 0.2549 0.2040
Be2 0.3046 0.6093 0.9585
Be3 0.8725 0.7451 0.7040
Be4 0.6954 0.3907 0.4585
B1 0.7616 0.5231 0.1512
B2 0.2384 0.4769 0.6512
B3 0.9346 0.8692 0.0397
B4 0.0654 0.1308 0.5397

Summary:
calculated formation energy: -0.418 eV per atom
N(E_F): 3.06 states/eV per cell

[10]
The following is a GGA-PBE calculation of a relaxed structure of RbHg2RhAu, from Alexandria via LeMat-Bulk.

Unit cell a=5.2806 b=5.2806 c=5.3206 alpha=90.00 beta=90.00 gamma=90.00
Positions (direct):
Rb1 0.5000 0.5000 0.5000
Hg1 0.5000 0.0000 0.0000
Hg2 0.0000 0.5000 0.0000
Rh1 0.0000 0.0000 0.0000
Au1 0.0000 0.0000 0.5000

Summary:
calculated formation energy: -0.057 eV per atom
N(E_F): 1.49 states/eV per cell